First-principles (PBE-GGA) data for an optimized crystal structure of TiCu2Pb2O6, as listed in the Alexandria database.

## Properties
- electronic total energy (eV per atom) = -6.1259
- SG = No. 166
- formation energy without anion corrections (eV/atom) = -1.28

a = 6.162 Å, b = 6.162 Å, c = 6.162 Å
α = 56.95°, β = 56.95°, γ = 56.95°
Element x y z (fractional)
Ti 0.000 0.000 0.000
Cu 0.413 0.413 0.413
Cu 0.587 0.587 0.587
Pb 0.207 0.207 0.207
Pb 0.793 0.793 0.793
O 0.218 0.768 0.768
O 0.232 0.232 0.782
O 0.232 0.782 0.232
O 0.768 0.218 0.768
O 0.768 0.768 0.218
O 0.782 0.232 0.232